a:
Below is a PBEsol-optimized structure of Zr2ScCl, with properties calculated at the SCAN level.

Cell: 3.1647 5.0079 5.3915 Å, 90.00 90.00 90.00°
With the nearest neighbours (Å) after each atom.
Atoms (fractional coordinates):
Zr 0.0000 0.0000 0.7377  2 Zr 2.56-2.83
Cl 0.5000 0.5000 0.0000  2 Sc 2.70
Zr 0.0000 0.0000 0.2623  2 Zr 2.56-2.83
Sc 0.5000 0.5000 0.5000  2 Cl 2.70

Computed properties:
**Calculated volume**: 21.36 A^3/atom

b:
Below is a PBEsol-optimized structure of Zr2ScCl, with properties calculated at the SCAN level.

Cell: 3.1605 5.1976 5.1976 Å, 109.48 90.00 90.00°
With the nearest neighbours (Å) after each atom.
Atoms (fractional coordinates):
Cl 0.5000 0.0000 0.0000  2 Sc 3.00, 8 Zr 3.04, 2 Cl 3.16
Zr 0.0000 0.0000 0.5000  4 Zr 3.00-3.16, 4 Cl 3.04, 4 Sc 3.04
Sc 0.5000 0.5000 0.5000  2 Cl 3.00, 8 Zr 3.04, 2 Sc 3.16
Zr 0.0000 0.5000 0.0000  4 Zr 3.00-3.16, 4 Sc 3.04, 4 Cl 3.04

Computed properties:
**Calculated volume**: 20.12 A^3/atom

c:
Below is a PBEsol-optimized structure of Zr2ScCl, with properties calculated at the SCAN level.

Cell: 3.1158 4.8776 6.0161 Å, 90.00 104.97 90.00°
With the nearest neighbours (Å) after each atom.
Atoms (fractional coordinates):
Sc 0.4089 0.5000 0.6921  2 Cl 2.47
Zr 0.6557 0.5000 0.1887  1 Sc 2.89, 6 Zr 3.10-3.12
Cl 0.3746 0.0000 0.6221  2 Sc 2.47, 2 Zr 2.68
Zr 0.0608 0.0000 0.9972  2 Cl 2.68

Computed properties:
**Calculated volume**: 22.08 A^3/atom

Most stable structure: c

a:
Below is a PBEsol-optimized structure of SiSe2Cl, with properties calculated at the SCAN level.

Cell: 3.7482 3.7482 8.7802 Å, 77.68 77.68 60.00°
With the nearest neighbours (Å) after each atom.
Atoms (fractional coordinates):
Cl 0.5000 0.5000 0.5000  6 Se 3.04
Se 0.9169 0.9169 0.2492  1 Si 2.12
Si 0.0000 0.0000 0.0000  2 Se 2.12
Se 0.0831 0.0831 0.7508  1 Si 2.12

Computed properties:
**Calculated volume**: 25.88 A^3/atom

b:
Below is a PBEsol-optimized structure of SiSe2Cl, with properties calculated at the SCAN level.

Cell: 3.3214 4.7252 4.7252 Å, 90.00 90.00 90.00°
With the nearest neighbours (Å) after each atom.
Atoms (fractional coordinates):
Cl 0.5000 0.0000 0.0000  8 Se 2.89
Se 0.0000 0.5000 0.0000  4 Si 2.89, 4 Cl 2.89
Si 0.5000 0.5000 0.5000  8 Se 2.89
Se 0.0000 0.0000 0.5000  4 Si 2.89, 4 Cl 2.89

Computed properties:
**Calculated volume**: 18.54 A^3/atom

Most stable structure: a

a:
Below is a PBEsol-optimized structure of Si2SeCl, with properties calculated at the SCAN level.

Cell: 3.4818 4.7305 6.1439 Å, 90.00 106.44 90.00°
With the nearest neighbours (Å) after each atom.
Atoms (fractional coordinates):
Se 0.2267 0.5000 0.8275  2 Si 2.33
Si 0.8918 0.0000 0.1601  2 Cl 2.32-2.33, 2 Si 2.40
Si 0.8581 0.5000 0.0904  2 Se 2.33, 2 Si 2.40
Cl 0.5234 0.0000 0.4220  2 Si 2.32-2.33

Computed properties:
**Calculated volume**: 24.26 A^3/atom

b:
Below is a PBEsol-optimized structure of Si2SeCl, with properties calculated at the SCAN level.

Cell: 3.4381 3.5338 8.2522 Å, 90.00 90.00 119.11°
With the nearest neighbours (Å) after each atom.
Atoms (fractional coordinates):
Si 0.0000 0.0000 0.0161  2 Se 2.33, 2 Si 2.45
Si 0.5000 0.0000 0.2269  2 Cl 2.41, 2 Si 2.45
Cl 0.0000 0.0000 0.4322  2 Si 2.41
Se 0.5000 0.0000 0.8248  2 Si 2.33

Computed properties:
**Calculated volume**: 21.90 A^3/atom

Most stable structure: a

a:
Below is a PBEsol-optimized structure of TaSeCl2, with properties calculated at the SCAN level.

Cell: 3.3272 3.3272 8.2779 Å, 78.41 78.41 60.00°
With the nearest neighbours (Å) after each atom.
Atoms (fractional coordinates):
Ta 0.2489 0.2489 0.2534  3 Cl 2.53, 3 Se 2.57
Se 0.5115 0.5115 0.4654  3 Ta 2.57
Cl 0.7560 0.7560 0.7319  3 Se 2.88, 3 Cl 3.20
Cl 0.9835 0.9835 0.0494  3 Ta 2.53

Computed properties:
**Calculated volume**: 19.30 A^3/atom

b:
Below is a PBEsol-optimized structure of TaSeCl2, with properties calculated at the SCAN level.

Cell: 4.1727 4.1727 4.8558 Å, 115.45 115.45 90.00°
With the nearest neighbours (Å) after each atom.
Atoms (fractional coordinates):
Cl 0.7500 0.2500 0.5000  4 Ta 2.84, 4 Se 2.84, 4 Cl 2.95
Ta 0.0000 0.0000 0.0000  8 Cl 2.84, 4 Se 2.95
Se 0.5000 0.5000 0.0000  8 Cl 2.84, 4 Ta 2.95
Cl 0.2500 0.7500 0.5000  4 Se 2.84, 4 Ta 2.84, 4 Cl 2.95

Computed properties:
**Calculated volume**: 16.79 A^3/atom

c:
Below is a PBEsol-optimized structure of TaSeCl2, with properties calculated at the SCAN level.

Cell: 3.0666 3.0666 8.3748 Å, 90.00 90.00 90.00°
With the nearest neighbours (Å) after each atom.
Atoms (fractional coordinates):
Ta 0.5000 0.5000 0.7466  4 Se 2.65, 4 Cl 2.68
Se 0.0000 0.0000 0.5653  4 Ta 2.65
Cl 0.5000 0.5000 0.2526  8 Cl 3.07-3.43, 4 Se 3.40
Cl 0.0000 0.0000 0.9356  4 Ta 2.68

Computed properties:
**Calculated volume**: 19.69 A^3/atom

Most stable structure: a